A.
VASP calculation (PBE) on Na2ScAu after structural relaxation.

Cell lengths 5.021, 5.021, 5.021 Å; angles 60.00, 60.00, 60.00 degrees
Atoms (fractional coordinates):
Au (0.500, 0.500, 0.500)
Sc (0.000, 0.000, 0.000)
Na (0.750, 0.750, 0.750)
Na (0.250, 0.250, 0.250)

Computed properties:
M_tot ... 0.254 μB/atom
Crystal system ... cubic
Theoretical density ... 5.340 g/cm3

B.
VASP calculation (PBE) on Na2ScAu after structural relaxation.

Cell lengths 8.805, 8.805, 6.821 Å; angles 49.80, 49.80, 90.00 degrees
Atoms (fractional coordinates):
Na (0.069, 0.625, 0.250)
Na (0.875, 0.931, 0.750)
Na (0.681, 0.125, 0.250)
Na (0.375, 0.319, 0.750)
Sc (0.500, 0.500, 0.000)
Sc (0.250, 0.750, 0.500)
Au (0.000, 0.000, 0.000)
Au (0.750, 0.250, 0.500)

Computed properties:
M_tot ... 0.033 μB/atom
Crystal system ... tetragonal
Theoretical density ... 4.427 g/cm3

Going by the energies, B is most stable and the next is 0.050 eV/atom up.